[1]
Compound: Pr2HoCl8
Source: Alexandria via LeMat-Bulk
Functional: PBE
Structure: relaxed

Calculated values
- E_form (uncorrected): -2.013 eV/atom

Cell lengths 7.541, 7.541, 5.837 Å; angles 100.24, 100.24, 112.60 degrees
Atoms (fractional coordinates):
Pr: 0.191 0.809 0.000
Pr: 0.809 0.191 0.000
Ho: 0.500 0.500 0.500
Cl: 0.152 0.152 0.316
Cl: 0.162 0.421 0.894
Cl: 0.288 0.712 0.500
Cl: 0.421 0.162 0.894
Cl: 0.579 0.838 0.106
Cl: 0.712 0.288 0.500
Cl: 0.838 0.579 0.106
Cl: 0.848 0.848 0.684

[2]
Compound: PrHo3Cl
Source: Alexandria via LeMat-Bulk
Functional: PBE
Structure: relaxed

Calculated values
- E_form (uncorrected): -0.444 eV/atom

Cell lengths 5.300, 5.300, 5.300 Å; angles 90.00, 90.00, 90.00 degrees
Atoms (fractional coordinates):
Pr: 0.000 0.000 0.000
Ho: 0.000 0.500 0.500
Ho: 0.500 0.000 0.500
Ho: 0.500 0.500 0.000
Cl: 0.500 0.500 0.500

[3]
Compound: PrHoS2Cl
Source: Alexandria via LeMat-Bulk
Functional: PBE
Structure: relaxed

Calculated values
- E_form (uncorrected): -1.966 eV/atom

Cell lengths 4.073, 4.073, 13.575 Å; angles 90.00, 90.00, 90.00 degrees
Atoms (fractional coordinates):
Pr: 0.250 0.250 0.156
Pr: 0.750 0.750 0.844
Ho: 0.250 0.250 0.593
Ho: 0.750 0.750 0.407
S: 0.250 0.250 0.389
S: 0.250 0.250 0.792
S: 0.750 0.750 0.208
S: 0.750 0.750 0.611
Cl: 0.250 0.750 0.000
Cl: 0.750 0.250 0.000

[4]
Compound: HoPtCl
Source: Alexandria via LeMat-Bulk
Functional: PBE
Structure: relaxed

Calculated values
- E_form (uncorrected): -1.463 eV/atom

Cell lengths 10.824, 10.824, 7.705 Å; angles 93.80, 93.80, 21.07 degrees
Atoms (fractional coordinates):
Ho: 0.153 0.153 0.099
Ho: 0.157 0.157 0.615
Ho: 0.843 0.843 0.385
Ho: 0.847 0.847 0.901
Pt: 0.250 0.250 0.374
Pt: 0.255 0.255 0.877
Pt: 0.745 0.745 0.123
Pt: 0.750 0.750 0.626
Cl: 0.070 0.070 0.345
Cl: 0.410 0.410 0.151
Cl: 0.590 0.590 0.849
Cl: 0.930 0.930 0.655

[5]
Compound: Ho3PtCl3
Source: Alexandria via LeMat-Bulk
Functional: PBE
Structure: relaxed

Calculated values
- E_form (uncorrected): -1.638 eV/atom

Cell lengths 11.191, 11.191, 11.191 Å; angles 34.79, 34.79, 34.79 degrees
Atoms (fractional coordinates):
Ho: 0.108 0.447 0.786
Ho: 0.214 0.892 0.553
Ho: 0.447 0.786 0.108
Ho: 0.553 0.214 0.892
Ho: 0.786 0.108 0.447
Ho: 0.892 0.553 0.214
Pt: 0.167 0.167 0.167
Pt: 0.833 0.833 0.833
Cl: 0.065 0.720 0.392
Cl: 0.280 0.608 0.935
Cl: 0.392 0.065 0.720
Cl: 0.608 0.935 0.280
Cl: 0.720 0.392 0.065
Cl: 0.935 0.280 0.608

[6]
Compound: Ho4PtSe2Cl
Source: Alexandria via LeMat-Bulk
Functional: PBE
Structure: relaxed

Calculated values
- E_form (uncorrected): -1.498 eV/atom

Cell lengths 7.116, 3.928, 7.221 Å; angles 90.00, 107.96, 90.00 degrees
Atoms (fractional coordinates):
Ho: 0.228 0.000 0.233
Ho: 0.233 0.500 0.749
Ho: 0.767 0.500 0.251
Ho: 0.772 0.000 0.767
Pt: 0.000 0.500 0.000
Se: 0.000 0.000 0.500
Se: 0.500 0.500 0.500
Cl: 0.500 0.000 0.000

Calculated calculated volume, 290; 149; 225; 324; 407; 192 Å³ per cell (same order as the records).
Calculated theoretical density, 4.178; 7.484; 5.980; 8.112; 6.494; 9.065 g/cm³ (same order as the records).